Below is a relaxed structure of CsGe3Br, with properties calculated at the GGA-PBE level.

Calculated values
E_tot: -13.03 eV/cell
symmetry: No. 221
uncorrected formation energy: 0.6701 eV/atom

Cell: 5.490 5.490 5.490 Å, 90.00 90.00 90.00°
Sites, in units of the cell vectors:
Cs1 0.500 0.500 0.500
Ge1 0.000 0.500 0.000
Ge2 0.000 0.000 0.500
Ge3 0.500 0.000 0.000
Br1 0.000 0.000 0.000